DFT (PBE) results for an optimized crystal structure of RbCo3Au.

Output
Energy of formation from the pure elements ... 2437 meV per atom
Space group ... No. 221
Energy ... -2.68 eV per atom
ρ ... 7.95 g/cm³

Structure (POSCAR):
```
RbCo3Au
1.0
4.578 0.000 0.000
0.000 4.578 0.000
0.000 0.000 4.578
Rb Co Au
1 3 1
direct
0.000 0.000 0.000
0.000 0.000 0.500
0.000 0.500 0.000
0.500 0.000 0.000
0.500 0.500 0.500
```